1) First-principles (GGA-PBE) data for Li5CuF8 after structural relaxation, as listed in Alexandria.

abc: 5.8771 5.8771 5.8771
angles: 104.22 104.22 120.59
Fractional positions:
F 0.2350 0.4381 0.3264
F 0.1344 0.4339 0.8118
F 0.5661 0.3780 0.7005
F 0.6220 0.3225 0.1882
F 0.0914 0.7650 0.2031
F 0.6775 0.8656 0.2995
F 0.5619 0.8883 0.7969
F 0.1117 0.9086 0.6736
Li 0.4234 0.9140 0.0821
Li 0.0860 0.1681 0.5094
Li 0.5000 0.5000 0.0000
Li 0.6587 0.5766 0.4906
Li 0.8319 0.3413 0.9179
Cu 0.2500 0.7500 0.5000

Results
V = 151.79 Å³/cell
Space group = I-4 (82)


2) First-principles (GGA-PBE) data for Li5CuF8 after structural relaxation, as listed in Alexandria.

abc: 5.0767 5.0767 5.9124
angles: 90.00 90.00 110.16
Fractional positions:
Li 0.5000 0.5000 0.0000
Li 0.0000 0.5000 0.7702
Li 0.0000 0.5000 0.2298
Li 0.5000 0.0000 0.2298
Li 0.5000 0.0000 0.7702
F 0.2746 0.2746 0.7370
F 0.7254 0.7254 0.2630
F 0.7317 0.2683 0.5000
F 0.7356 0.2644 0.0000
F 0.2683 0.7317 0.5000
F 0.2644 0.7356 0.0000
F 0.7254 0.7254 0.7370
F 0.2746 0.2746 0.2630
Cu 0.5000 0.5000 0.5000

Results
V = 143.04 Å³/cell
Space group = Cmmm (65)


3) First-principles (GGA-PBE) data for Li5CuF8 after structural relaxation, as listed in Alexandria.

abc: 5.9676 5.9676 5.9676
angles: 58.44 58.44 58.44
Fractional positions:
F 0.7317 0.2678 0.7317
F 0.7322 0.2683 0.2683
F 0.2683 0.7322 0.2683
F 0.7317 0.7317 0.2678
F 0.2669 0.2669 0.2669
F 0.2678 0.7317 0.7317
F 0.2683 0.2683 0.7322
F 0.7331 0.7331 0.7331
Li 0.8581 0.8581 0.8581
Li 0.1419 0.1419 0.1419
Li 0.0000 0.5000 0.5000
Li 0.5000 0.0000 0.5000
Li 0.5000 0.5000 0.0000
Cu 0.5000 0.5000 0.5000

Results
V = 144.91 Å³/cell
Space group = R-3m (166)


4) First-principles (GGA-PBE) data for Li5CuF8 after structural relaxation, as listed in Alexandria.

abc: 5.8887 5.8887 5.8887
angles: 60.00 60.00 60.00
Fractional positions:
F 0.8687 0.3940 0.8687
F 0.3802 0.3802 0.3802
F 0.8595 0.3802 0.3802
F 0.3940 0.8687 0.8687
F 0.3802 0.3802 0.8595
F 0.8687 0.8687 0.8687
F 0.3802 0.8595 0.3802
F 0.8687 0.8687 0.3940
Li 0.6337 0.6337 0.0990
Li 0.0990 0.6337 0.6337
Li 0.6337 0.6337 0.6337
Li 0.0000 0.0000 0.0000
Li 0.6337 0.0990 0.6337
Cu 0.2500 0.2500 0.2500

Results
DOS(E_F) = 16.0 states/eV/f.u.
V = 144.39 Å³/cell
Space group = F-43m (216)


Relative energies with respect to the most stable structure, expressed in kJ/mol of atoms: 1) 10.7; 2) 1.5; 3) 0.0; 4) 11.8.


1) First-principles (GGA-PBE) data for Li2CuF6 after structural relaxation, as listed in Alexandria.

abc: 4.6537 4.6537 8.9032
angles: 90.00 90.00 90.00
Fractional positions:
Li 0.5000 0.5000 0.3371
Li 0.0000 0.0000 0.1629
Li 0.0000 0.0000 0.8371
Li 0.5000 0.5000 0.6629
F 0.8121 0.8121 0.6547
F 0.7127 0.2873 0.5000
F 0.2873 0.7127 0.5000
F 0.7873 0.7873 0.0000
F 0.6879 0.3121 0.8453
F 0.3121 0.6879 0.8453
F 0.6879 0.3121 0.1547
F 0.2127 0.2127 0.0000
F 0.1879 0.1879 0.6547
F 0.1879 0.1879 0.3453
F 0.8121 0.8121 0.3453
F 0.3121 0.6879 0.1547
Cu 0.0000 0.0000 0.5000
Cu 0.5000 0.5000 0.0000

Results
DOS(E_F) = 5.1 states/eV/f.u.
V = 192.82 Å³/cell
Space group = P4_2/mnm (136)


2) First-principles (GGA-PBE) data for Li2CuF6 after structural relaxation, as listed in Alexandria.

abc: 5.0183 4.8522 8.4234
angles: 90.00 91.56 90.00
Fractional positions:
F 0.1663 0.2190 0.3399
F 0.8337 0.7810 0.6601
F 0.1665 0.2106 0.6595
F 0.3337 0.7190 0.1601
F 0.2949 0.7930 0.5019
F 0.3335 0.7106 0.8405
F 0.6665 0.2894 0.1595
F 0.6663 0.2810 0.8399
F 0.7949 0.7070 0.0019
F 0.2051 0.2930 0.9981
F 0.7051 0.2070 0.4981
F 0.8335 0.7894 0.3405
Li 0.9946 0.4927 0.7942
Li 0.5054 0.9927 0.7058
Li 0.4946 0.0073 0.2942
Li 0.0054 0.5073 0.2058
Cu 0.0000 0.0000 0.5000
Cu 0.5000 0.5000 0.0000

Results
DOS(E_F) = 3.0 states/eV/f.u.
V = 205.03 Å³/cell
Space group = P2_1/c (14)


Relative energies with respect to the most stable structure, expressed in kJ/mol of atoms: 1) 1.3; 2) 0.0.


1) First-principles (GGA-PBE) data for LiCuN2F after structural relaxation, as listed in Alexandria.

abc: 3.5545 3.5545 3.5431
angles: 90.00 90.00 90.00
Fractional positions:
N 0.5000 0.0000 0.0000
N 0.0000 0.5000 0.0000
F 0.0000 0.0000 0.5000
Cu 0.5000 0.5000 0.5000
Li 0.0000 0.0000 0.0000

Results
DOS(E_F) = 4.7 states/eV/f.u.
V = 44.77 Å³/cell
Space group = P4/mmm (123)


2) First-principles (GGA-PBE) data for LiCuN2F after structural relaxation, as listed in Alexandria.

abc: 3.5913 3.5913 4.8613
angles: 90.00 90.00 90.00
Fractional positions:
Li 0.5000 0.5000 0.5000
Cu 0.0000 0.0000 0.0000
F 0.0000 0.0000 0.5000
N 0.0000 0.5000 0.0000
N 0.5000 0.0000 0.0000

Results
DOS(E_F) = 2.4 states/eV/f.u.
V = 62.70 Å³/cell
Space group = P4/mmm (123)


Relative energies with respect to the most stable structure, expressed in kJ/mol of atoms: 1) 69.2; 2) 0.0.